(1)
This record from Alexandria describes crystalline Ca2LaFe at its relaxed geometry. The functional is PBE.

a b c (Å): 4.6369 4.6305 5.5151
angles (deg): 90.00 90.00 90.00
Last column: nearest neighbours and their distance in Å.
Element x y z (fractional)
Ca 0.5000 0.5000 0.0000  4 Ca 3.28, 4 Fe 3.60, 4 La 3.60
Fe 0.5000 0.0000 0.5000  4 La 3.28, 8 Ca 3.60
La 0.0000 0.5000 0.5000  4 Fe 3.28, 8 Ca 3.60
Ca 0.0000 0.0000 0.0000  4 Ca 3.28, 4 La 3.60, 4 Fe 3.60

Calculated values
Its calculated total energy is -3.90 eV/atom. As for the energy above the lowest structure with this stoichiometry: 22.09 kJ/mol of atoms. The size of the total moment is 1.93 μB/cell. As for the energy of formation: 0.449 eV/atom. Its volume is 118.4 Å³/f.u.

(2)
This record from Alexandria describes crystalline FeCoAs2 at its relaxed geometry. The functional is PBE.

a b c (Å): 2.9192 2.9192 7.2708
angles (deg): 90.00 90.00 90.00
Last column: nearest neighbours and their distance in Å.
Element x y z (fractional)
Fe 0.5000 0.5000 0.7286  4 As 2.47, 4 Co 2.56
As 0.5000 0.5000 0.3364  4 Co 2.46
As 0.0000 0.0000 0.9141  4 Fe 2.47
Co 0.0000 0.0000 0.5208  4 As 2.46, 4 Fe 2.56

Calculated values
Its calculated total energy is -6.19 eV/atom. As for the energy above the lowest structure with this stoichiometry: 9.30 kJ/mol of atoms. The size of the total moment is 2.83 μB/cell. As for the energy of formation: 0.028 eV/atom. Its volume is 62.0 Å³/f.u.

(3)
This record from Alexandria describes crystalline KRbHg2Sb2 at its relaxed geometry. The functional is PBE.

a b c (Å): 4.9028 4.9028 10.7475
angles (deg): 90.00 90.00 120.00
Last column: nearest neighbours and their distance in Å.
Element x y z (fractional)
Sb 0.3333 0.6667 0.7453  3 Hg 2.83
Rb 0.0000 0.0000 0.0000  6 Sb 3.94, 6 Hg 4.02
Hg 0.3333 0.6667 0.2659  3 Sb 2.83
K 0.0000 0.0000 0.5000  6 Hg 3.79, 6 Sb 3.87
Hg 0.6667 0.3333 0.7341  3 Sb 2.83
Sb 0.6667 0.3333 0.2547  3 Hg 2.83

Calculated values
Its calculated total energy is -2.19 eV/atom. The size of the total moment is 0.00 μB/cell. Its volume is 223.7 Å³/f.u. For the uncorrected formation energy, the calculation gives -0.372 eV per atom.

(4)
This record from Alexandria describes crystalline Dy2Er3Th2 at its relaxed geometry. The functional is PBE.

a b c (Å): 3.4310 8.5307 8.8959
angles (deg): 119.00 101.12 90.00
Last column: nearest neighbours and their distance in Å.
Element x y z (fractional)
Er 0.7848 0.1997 0.5696  5 Er 3.34-3.45, 3 Dy 3.41-3.63, 3 Th 3.47-3.57
Er 0.0000 0.5000 0.0000  4 Er 3.34-3.43, 2 Th 3.49, 4 Dy 3.52
Er 0.2152 0.8003 0.4304  5 Er 3.34-3.45, 3 Dy 3.41-3.63, 3 Th 3.47-3.57
Th 0.1517 0.3457 0.3033  4 Th 3.43-3.57, 4 Er 3.47-3.57, 4 Dy 3.70
Dy 0.5632 0.9064 0.1265  3 Dy 3.30-3.43, 5 Er 3.41-3.63, 4 Th 3.70
Th 0.8483 0.6543 0.6967  4 Th 3.43-3.57, 4 Er 3.47-3.57, 4 Dy 3.70
Dy 0.4368 0.0936 0.8735  3 Dy 3.30-3.43, 5 Er 3.41-3.63, 4 Th 3.70

Calculated values
Its calculated total energy is -5.25 eV/atom. As for the energy above the lowest structure with this stoichiometry: 7.73 kJ/mol of atoms. The size of the total moment is 0.00 μB/cell. As for the energy of formation: 0.139 eV/atom. Its volume is 222.1 Å³/f.u.